## TaTeP2 (PBE)

Data for TaTeP2 after structural relaxation.

Cell lengths 4.657, 4.657, 4.657 Å; angles 60.00, 60.00, 60.00 degrees
Fractional coordinates of all 4 atoms:
Ta 0.000 0.000 0.000
Te 0.750 0.750 0.750
P 0.250 0.250 0.250
P 0.500 0.500 0.500

Properties
**Raw formation energy**: 0.521 eV per atom
**Final energy**: -5.932 eV/atom
**Magnetic moment**: 0.00 μB per formula unit
**Symmetry**: No. 216
**Mass density**: 8.62 g cm⁻³

## Mg6CuSi (PBE)

Data for Mg6CuSi after structural relaxation.

Cell lengths 4.889, 6.026, 6.026 Å; angles 61.43, 90.00, 90.00 degrees
Fractional coordinates of all 8 atoms:
Mg 0.000 0.000 0.000
Mg 0.000 0.022 0.495
Mg 0.000 0.495 0.022
Mg 0.500 0.320 0.802
Mg 0.500 0.802 0.320
Mg 0.500 0.818 0.818
Cu 0.500 0.294 0.294
Si 0.000 0.508 0.508

Properties
**Raw formation energy**: 0.062 eV per atom
**Final energy**: -2.323 eV/atom
**Magnetic moment**: 0.00 μB per formula unit
**Symmetry**: No. 38
**Relative energy among the computed polymorphs**: 0.073 eV/atom
**Mass density**: 2.53 g cm⁻³

## NbPd8Au6 (PBE)

Data for NbPd8Au6 after structural relaxation.

Cell lengths 7.700, 7.700, 5.059 Å; angles 90.00, 90.00, 120.00 degrees
Fractional coordinates of all 15 atoms:
Nb 0.000 0.000 0.000
Pd 0.051 0.275 0.305
Pd 0.225 0.949 0.305
Pd 0.275 0.225 0.695
Pd 0.333 0.667 0.303
Pd 0.667 0.333 0.697
Pd 0.725 0.775 0.305
Pd 0.775 0.051 0.695
Pd 0.949 0.725 0.695
Au 0.103 0.462 0.800
Au 0.358 0.897 0.800
Au 0.462 0.358 0.200
Au 0.538 0.642 0.800
Au 0.642 0.103 0.200
Au 0.897 0.538 0.200

Properties
**Energy relative to the elements**: -0.021 eV/atom
**Final energy**: -4.772 eV/atom
**Magnetic moment**: 0.00 μB per formula unit
**Symmetry**: No. 147
**Mass density**: 13.59 g cm⁻³

## TlSbIBr2 (PBE)

Data for TlSbIBr2 after structural relaxation.

Cell lengths 5.756, 5.756, 6.159 Å; angles 90.00, 90.00, 90.00 degrees
Fractional coordinates of all 5 atoms:
Tl 0.000 0.000 0.000
Sb 0.500 0.500 0.500
I 0.500 0.500 0.000
Br 0.000 0.500 0.500
Br 0.500 0.000 0.500

Properties
**Raw formation energy**: -0.437 eV per atom
**Final energy**: -2.714 eV/atom
**Magnetic moment**: 0.00 μB per formula unit
**Symmetry**: No. 123
**Mass density**: 4.99 g cm⁻³

## La4FePb (PBE)

Data for La4FePb after structural relaxation.

Cell lengths 9.385, 9.385, 6.236 Å; angles 107.18, 107.18, 44.96 degrees
Fractional coordinates of all 12 atoms:
La 0.133 0.635 0.397
La 0.242 0.758 0.000
La 0.303 0.303 0.794
La 0.365 0.867 0.603
La 0.635 0.133 0.397
La 0.697 0.697 0.206
La 0.758 0.242 0.000
La 0.867 0.365 0.603
Fe 0.461 0.461 0.645
Fe 0.539 0.539 0.355
Pb 0.194 0.194 0.197
Pb 0.806 0.806 0.803

Properties
**Energy relative to the elements**: -0.246 eV/atom
**Final energy**: -5.560 eV/atom
**Magnetic moment**: 0.00 μB per formula unit
**Symmetry**: No. 12
**Relative energy among the computed polymorphs**: 0.000 eV/atom
**Mass density**: 7.39 g cm⁻³

## Os2RhBr (PBE)

Data for Os2RhBr after structural relaxation.

Cell lengths 2.839, 2.839, 7.725 Å; angles 90.00, 90.00, 90.00 degrees
Fractional coordinates of all 4 atoms:
Os 0.000 0.000 0.236
Os 0.000 0.000 0.764
Rh 0.500 0.500 0.000
Br 0.500 0.500 0.500

Properties
**Raw formation energy**: 1.083 eV per atom
**Final energy**: -6.788 eV/atom
**Magnetic moment**: 0.00 μB per formula unit
**Symmetry**: No. 123
**Relative energy among the computed polymorphs**: 0.473 eV/atom
**Mass density**: 15.03 g cm⁻³

## CdMo2Au (PBE)

Data for CdMo2Au after structural relaxation.

Cell lengths 4.979, 4.979, 5.346 Å; angles 95.07, 95.07, 31.57 degrees
Fractional coordinates of all 4 atoms:
Cd 0.000 0.000 0.000
Mo 0.510 0.510 0.489
Mo 0.751 0.751 0.286
Au 0.250 0.250 0.770

Properties
**Energy relative to the elements**: 0.333 eV/atom
**Final energy**: -6.131 eV/atom
**Magnetic moment**: 0.00 μB per formula unit
**Symmetry**: No. 8
**Mass density**: 12.04 g cm⁻³

## Cr2AgAu (PBE)

Data for Cr2AgAu after structural relaxation.

Cell lengths 4.969, 4.969, 4.745 Å; angles 106.34, 106.34, 35.80 degrees
Fractional coordinates of all 4 atoms:
Cr 0.000 0.000 0.000
Cr 0.719 0.719 0.222
Ag 0.239 0.239 0.740
Au 0.476 0.476 0.479

Properties
**Energy relative to the elements**: 0.288 eV/atom
**Final energy**: -6.056 eV/atom
**Magnetic moment**: 0.11 μB per formula unit
**Symmetry**: No. 8
**Relative energy among the computed polymorphs**: 0.109 eV/atom
**Mass density**: 10.37 g cm⁻³